[1]
## Pm3Y12Tl (PBE-GGA)

Data for crystalline Pm3Y12Tl at its relaxed geometry.

Calculated values
Formation energy from the elements   -0.02 eV/atom

Structure (CIF):
```
data_Pm3Y12Tl
_space_group_name_H-M_alt 'P 1'
_space_group_IT_number 1
_space_group_name_Hall 'P 1'
_cell_length_a 5.0046
_cell_length_b 5.0046
_cell_length_c 20.3897
_cell_angle_alpha 90.00
_cell_angle_beta 90.00
_cell_angle_gamma 90.00
loop_
_atom_site_label
_atom_site_type_symbol
_atom_site_fract_x
_atom_site_fract_y
_atom_site_fract_z
_atom_site_occupancy
Pm1 Pm 0.0000 0.0000 0.2487 1
Pm2 Pm 0.0000 0.0000 0.5000 1
Pm3 Pm 0.0000 0.0000 0.7513 1
Y1 Y 0.5000 0.5000 0.0000 1
Y2 Y 0.5000 0.5000 0.2432 1
Y3 Y 0.5000 0.5000 0.5000 1
Y4 Y 0.5000 0.5000 0.7568 1
Y5 Y 0.5000 0.0000 0.1201 1
Y6 Y 0.5000 0.0000 0.3733 1
Y7 Y 0.5000 0.0000 0.6267 1
Y8 Y 0.5000 0.0000 0.8799 1
Y9 Y 0.0000 0.5000 0.1201 1
Y10 Y 0.0000 0.5000 0.3733 1
Y11 Y 0.0000 0.5000 0.6267 1
Y12 Y 0.0000 0.5000 0.8799 1
Tl1 Tl 0.0000 0.0000 0.0000 1
```

---

[2]
## La2HoMo2N6 (PBE-GGA)

Data for crystalline La2HoMo2N6 at its relaxed geometry.

Calculated values
Formation energy from raw total energies   -850.4 meV per atom

Structure (CIF):
```
data_La2HoMo2N6
_space_group_name_H-M_alt 'P 1'
_space_group_IT_number 1
_space_group_name_Hall 'P 1'
_cell_length_a 5.8242
_cell_length_b 5.8242
_cell_length_c 6.9829
_cell_angle_alpha 65.35
_cell_angle_beta 65.35
_cell_angle_gamma 60.00
loop_
_atom_site_label
_atom_site_type_symbol
_atom_site_fract_x
_atom_site_fract_y
_atom_site_fract_z
_atom_site_occupancy
La1 La 0.7981 0.7981 0.6057 1
La2 La 0.2019 0.2019 0.3943 1
Ho1 Ho 0.0000 0.0000 0.0000 1
Mo1 Mo 0.3980 0.3980 0.8060 1
Mo2 Mo 0.6020 0.6020 0.1940 1
N1 N 0.7430 0.7430 0.2866 1
N2 N 0.2275 0.7430 0.2866 1
N3 N 0.7430 0.2275 0.2866 1
N4 N 0.2570 0.7725 0.7134 1
N5 N 0.7725 0.2570 0.7134 1
N6 N 0.2570 0.2570 0.7134 1
```

---

Number 1: electronic total energy -94.6 eV for the cell shown, DOS at the Fermi energy 21.30 states/eV/cell. Number 2: electronic total energy -95.4 eV for the cell shown, DOS at the Fermi energy 2.50 states/eV/cell.